{
  "formula": "AcDy2Ho",
  "functional": "PBE",
  "state": "relaxed",
  "lattice": [[0.000, 4.111, 4.111], [4.111, 0.000, 4.111], [4.111, 4.111, 0.000]],
  "species": ["Ac", "Dy", "Dy", "Ho"],
  "frac_coords": [[0.000, 0.000, 0.000], [0.250, 0.250, 0.250], [0.750, 0.750, 0.750], [0.500, 0.500, 0.500]],
  "volume_a3_per_fu": 138.93,
  "n_ef_per_ev_cell": 7.0,
  "e_form_ev_per_atom": 0.14
}